Record 1
Below is a relaxed Li5Ca2Zn2Hg crystal, with properties calculated at the GGA-PBE level.

Cell: 4.189 10.201 10.201 Å, 90.00 90.00 90.00°
Element x y z (fractional)
Li  0.500  0.203  0.059
Li  0.500  0.797  0.941
Li  0.500  0.059  0.797
Li  0.500  0.703  0.441
Li  0.500  0.941  0.203
Li  0.500  0.297  0.559
Li  0.500  0.559  0.703
Li  0.500  0.441  0.297
Li  0.500  0.500  0.000
Li  0.500  0.000  0.500
Ca  0.000  0.683  0.183
Ca  0.000  0.317  0.817
Ca  0.000  0.183  0.317
Ca  0.000  0.817  0.683
Zn  0.000  0.110  0.610
Zn  0.000  0.890  0.390
Zn  0.000  0.610  0.890
Zn  0.000  0.390  0.110
Hg  0.000  0.000  0.000
Hg  0.000  0.500  0.500

Properties
Space group: P4/mbm, No. 127
Energy of formation, eV per atom: -0.159

Record 2
Below is a relaxed CaLu2Hg crystal, with properties calculated at the GGA-PBE level.

Cell: 4.644 4.853 4.853 Å, 90.00 90.00 90.00°
Element x y z (fractional)
Ca  0.500  0.000  0.000
Lu  0.000  0.000  0.500
Lu  0.000  0.500  0.000
Hg  0.500  0.500  0.500

Properties
Space group: P4/mmm, No. 123
Energy of formation, eV per atom: -0.094

Record 3
Below is a relaxed CaLu2Hg crystal, with properties calculated at the GGA-PBE level.

Cell: 3.640 3.640 9.106 Å, 90.00 90.00 90.00°
Element x y z (fractional)
Ca  0.500  0.500  0.500
Lu  0.000  0.000  0.803
Lu  0.000  0.000  0.197
Hg  0.500  0.500  0.000

Properties
Space group: P4/mmm, No. 123
Energy of formation, eV per atom: -0.132

Record 4
Below is a relaxed CaLu2Hg crystal, with properties calculated at the GGA-PBE level.

Cell: 3.573 3.573 11.440 Å, 81.01 81.01 60.00°
Element x y z (fractional)
Ca  0.000  0.000  0.000
Lu  0.099  0.099  0.704
Lu  0.901  0.901  0.296
Hg  0.500  0.500  0.500

Properties
Space group: R-3m, No. 166
Energy of formation, eV per atom: 0.046

Record 5
Below is a relaxed CaLuNiHg crystal, with properties calculated at the GGA-PBE level.

Cell: 5.012 5.012 5.012 Å, 60.00 60.00 60.00°
Element x y z (fractional)
Ni  0.250  0.250  0.250
Ca  0.500  0.500  0.500
Lu  0.000  0.000  0.000
Hg  0.750  0.750  0.750

Properties
Space group: F-43m, No. 216
Energy of formation, eV per atom: -0.269

Record 6
Below is a relaxed CaLuHgPb crystal, with properties calculated at the GGA-PBE level.

Cell: 5.356 5.356 5.356 Å, 60.00 60.00 60.00°
Element x y z (fractional)
Pb  0.250  0.250  0.250
Ca  0.500  0.500  0.500
Lu  0.000  0.000  0.000
Hg  0.750  0.750  0.750

Properties
Space group: F-43m, No. 216
Energy of formation, eV per atom: -0.451

Record 7
Below is a relaxed CaLuHgPd crystal, with properties calculated at the GGA-PBE level.

Cell: 5.073 5.073 5.073 Å, 60.00 60.00 60.00°
Element x y z (fractional)
Ca  0.750  0.750  0.750
Lu  0.250  0.250  0.250
Hg  0.500  0.500  0.500
Pd  0.000  0.000  0.000

Properties
Space group: F-43m, No. 216
Energy of formation, eV per atom: -0.595

Record 8
Below is a relaxed CaLuHgPt crystal, with properties calculated at the GGA-PBE level.

Cell: 5.036 5.036 5.036 Å, 60.00 60.00 60.00°
Element x y z (fractional)
Ca  0.500  0.500  0.500
Lu  0.000  0.000  0.000
Hg  0.250  0.250  0.250
Pt  0.750  0.750  0.750

Properties
Space group: F-43m, No. 216
Energy of formation, eV per atom: -0.745

Question: Which formula does entry 2 have?
Answer: CaLu2Hg